CdIr2Cl2: optimized geometry, PBE-GGA.

The structure in POSCAR format:
```
CdIr2Cl2
1.0
4.094 0.000 0.000
0.000 4.094 0.000
0.000 0.000 11.440
Cd Ir Cl
2 4 4
Cartesian
0.000 0.000 0.000
2.047 2.047 5.720
0.000 0.000 4.559
0.000 0.000 6.881
2.047 2.047 1.161
2.047 2.047 10.279
0.000 2.047 2.860
0.000 2.047 8.580
2.047 0.000 2.860
2.047 0.000 8.580
```

Results
magnetization: 0.0 μB per formula unit
ΔE_f (raw): 0.6428 eV per atom
space-group type: I4/mmm, No. 139